# 1
Below is a relaxed structure of Ti2CrSn, with properties calculated at the PBE level.

extended XYZ file:
```
4
Lattice="-0.7277 3.1261 0.5519 -0.7596 -0.7212 3.0837 5.8526 1.0639 1.6905" Properties=species:S:1:pos:R:3 pbc="T T T"
Cr -0.7437 1.2024 1.8178
Ti 1.2712 0.2311 0.3672
Ti 4.5815 0.8328 1.3234
Sn 2.1827 1.7344 2.6631
```

Values from the calculation:
- magnetization (μB per cell) = 0.000
- DFT formation energy (eV/atom) = -0.1735
- electronic total energy (eV per formula unit) = -30.11

# 2
Below is a relaxed structure of Pr3Tl2In3Ni, with properties calculated at the PBE level.

extended XYZ file:
```
9
Lattice="-4.0236 -1.8491 -1.0747 2.8868 -2.3194 -6.8169 0.4785 -4.6428 6.1966" Properties=species:S:1:pos:R:3 pbc="T T T"
Tl 0.0722 -4.0184 -3.0164
Pr 0.1846 -1.7913 2.3908
Ni 0.0000 0.0000 0.0000
Tl -0.7306 -4.7929 1.3214
Pr 2.0668 -4.2760 -0.3810
Pr 1.1138 -0.8949 -2.6301
In -1.6431 -4.5018 4.2370
In -1.2394 -2.5224 -0.6797
In 0.2125 -2.7116 -5.7897
```

Values from the calculation:
- magnetization (μB per cell) = 0.000
- DFT formation energy (eV/atom) = -0.4267
- electronic total energy (eV per formula unit) = -36.91

# 3
Below is a relaxed structure of CaBePt2, with properties calculated at the PBE level.

extended XYZ file:
```
4
Lattice="-1.2172 -0.2060 4.9217 4.3418 -0.1842 2.6195 -2.6486 2.9374 -3.1786" Properties=species:S:1:pos:R:3 pbc="T T T"
Be -1.1518 1.2682 2.7568
Pt 2.9414 -0.3673 7.0989
Pt 1.7455 -0.2180 4.2128
Ca 1.6277 1.2790 1.6057
```

Values from the calculation:
- magnetization (μB per cell) = 0.000
- DFT formation energy (eV/atom) = -0.5279
- electronic total energy (eV per formula unit) = -19.92